Entry 1:
## Y2Ag (meta-GGA SCAN)

Data for a PBEsol-optimized structure of Y2Ag.

a = 5.0114 Å, b = 5.0114 Å, c = 3.4014 Å
α = 90.00°, β = 90.00°, γ = 90.00°
Fractional coordinates of all 3 atoms:
Y 0.0000 0.5000 0.0000
Y 0.5000 0.0000 0.0000
Ag 0.0000 0.0000 0.5000

**Crystal system**: tetragonal

=====

Entry 2:
## YAg8 (meta-GGA SCAN)

Data for a PBEsol-optimized structure of YAg8.

a = 6.5277 Å, b = 6.5277 Å, c = 6.5277 Å
α = 95.92°, β = 95.92°, γ = 142.53°
Fractional coordinates of all 9 atoms:
Y 0.0000 0.0000 0.0000
Ag 0.0000 0.3383 0.3383
Ag 0.0000 0.6617 0.6617
Ag 0.3281 0.3281 0.6562
Ag 0.3281 0.6719 0.0000
Ag 0.3383 0.0000 0.3383
Ag 0.6617 0.0000 0.6617
Ag 0.6719 0.3281 0.0000
Ag 0.6719 0.6719 0.3438

**Crystal system**: tetragonal

=====

Entry 3:
## Y4Ag (meta-GGA SCAN)

Data for a PBEsol-optimized structure of Y4Ag.

a = 13.3153 Å, b = 13.3153 Å, c = 13.3153 Å
α = 15.13°, β = 15.13°, γ = 15.13°
Fractional coordinates of all 5 atoms:
Y 0.1089 0.1089 0.1089
Y 0.2969 0.2969 0.2969
Y 0.7031 0.7031 0.7031
Y 0.8911 0.8911 0.8911
Ag 0.5000 0.5000 0.5000

**Crystal system**: trigonal

=====

Entry 4:
## Y4Ag (meta-GGA SCAN)

Data for a PBEsol-optimized structure of Y4Ag.

a = 6.4298 Å, b = 6.4298 Å, c = 8.7125 Å
α = 132.45°, β = 132.45°, γ = 32.75°
Fractional coordinates of all 5 atoms:
Y 0.0789 0.0789 0.3519
Y 0.2709 0.2709 0.1914
Y 0.7291 0.7291 0.8086
Y 0.9211 0.9211 0.6481
Ag 0.5000 0.5000 0.0000

**Crystal system**: monoclinic

=====

Entry 5:
## Y4Ag (meta-GGA SCAN)

Data for a PBEsol-optimized structure of Y4Ag.

a = 11.5155 Å, b = 11.5155 Å, c = 11.5155 Å
α = 162.47°, β = 162.47°, γ = 24.89°
Fractional coordinates of all 5 atoms:
Y 0.0823 0.0823 0.0000
Y 0.3044 0.3044 0.0000
Y 0.6956 0.6956 0.0000
Y 0.9177 0.9177 0.0000
Ag 0.5000 0.5000 0.0000

**Crystal system**: tetragonal

=====

Entry 6:
## Y2Ag (meta-GGA SCAN)

Data for a PBEsol-optimized structure of Y2Ag.

a = 5.0522 Å, b = 5.0522 Å, c = 6.8448 Å
α = 90.00°, β = 90.00°, γ = 120.00°
Fractional coordinates of all 6 atoms:
Y 0.0000 0.0000 0.0000
Y 0.0000 0.0000 0.5000
Y 0.3333 0.6667 0.2500
Y 0.6667 0.3333 0.7500
Ag 0.3333 0.6667 0.7500
Ag 0.6667 0.3333 0.2500

**Crystal system**: hexagonal

=====

Entry 7:
## Y2Ag3 (meta-GGA SCAN)

Data for a PBEsol-optimized structure of Y2Ag3.

a = 12.0971 Å, b = 12.0971 Å, c = 12.0971 Å
α = 15.49°, β = 15.49°, γ = 15.49°
Fractional coordinates of all 5 atoms:
Y 0.2075 0.2075 0.2075
Y 0.7925 0.7925 0.7925
Ag 0.0000 0.0000 0.0000
Ag 0.3917 0.3917 0.3917
Ag 0.6083 0.6083 0.6083

**Crystal system**: trigonal

=====

Entry 8:
## Y3Ag2 (meta-GGA SCAN)

Data for a PBEsol-optimized structure of Y3Ag2.

a = 5.8704 Å, b = 5.8704 Å, c = 7.7922 Å
α = 125.23°, β = 125.23°, γ = 34.81°
Fractional coordinates of all 5 atoms:
Y 0.0000 0.0000 0.0000
Y 0.1635 0.1635 0.7528
Y 0.8365 0.8365 0.2472
Ag 0.3786 0.3786 0.6055
Ag 0.6214 0.6214 0.3945

**Crystal system**: monoclinic

=====

Entry 9:
## Y2Ag (meta-GGA SCAN)

Data for a PBEsol-optimized structure of Y2Ag.

a = 5.9252 Å, b = 5.9252 Å, c = 5.9252 Å
α = 105.89°, β = 105.89°, γ = 116.91°
Fractional coordinates of all 6 atoms:
Y 0.1688 0.6688 0.8376
Y 0.3312 0.1688 0.5000
Y 0.6688 0.8312 0.5000
Y 0.8312 0.3312 0.1624
Ag 0.2500 0.2500 0.0000
Ag 0.7500 0.7500 0.0000

**Crystal system**: tetragonal

=====

Entry 10:
## Y2Ag (meta-GGA SCAN)

Data for a PBEsol-optimized structure of Y2Ag.

a = 8.3724 Å, b = 8.3724 Å, c = 5.2103 Å
α = 90.00°, β = 90.00°, γ = 155.24°
Fractional coordinates of all 6 atoms:
Y 0.0807 0.9193 0.7500
Y 0.2218 0.7782 0.2500
Y 0.7782 0.2218 0.7500
Y 0.9193 0.0807 0.2500
Ag 0.4263 0.5737 0.7500
Ag 0.5737 0.4263 0.2500

**Crystal system**: orthorhombic

=====

Entry 11:
## Y2Ag3 (meta-GGA SCAN)

Data for a PBEsol-optimized structure of Y2Ag3.

a = 8.5620 Å, b = 8.5620 Å, c = 8.5620 Å
α = 155.57°, β = 155.57°, γ = 34.83°
Fractional coordinates of all 5 atoms:
Y 0.1078 0.1078 0.0000
Y 0.8922 0.8922 0.0000
Ag 0.2927 0.2927 0.0000
Ag 0.5000 0.5000 0.0000
Ag 0.7073 0.7073 0.0000

**Crystal system**: tetragonal

=====

Entry 12:
## Y3Ag5 (meta-GGA SCAN)

Data for a PBEsol-optimized structure of Y3Ag5.

a = 6.0557 Å, b = 6.0557 Å, c = 4.9260 Å
α = 90.00°, β = 90.00°, γ = 108.43°
Fractional coordinates of all 8 atoms:
Y 0.0000 0.0000 0.0000
Y 0.2799 0.7201 0.5000
Y 0.7201 0.2799 0.5000
Ag 0.0000 0.5000 0.0000
Ag 0.2161 0.2161 0.5000
Ag 0.5000 0.0000 0.0000
Ag 0.5000 0.5000 0.0000
Ag 0.7839 0.7839 0.5000

**Crystal system**: orthorhombic

=====

Computed values of ρ (unit: g/cm3) for the preceding records, in sequence: 5.553 9.864 5.492 5.557 5.556 6.271 7.566 6.561 6.002 6.203 7.762 7.810.
Computed values of E_tot (unit: eV/atom) for the preceding records, in sequence: -29.04 -31.04 -28.55 -28.68 -28.66 -29.24 -29.86 -29.45 -29.26 -29.27 -30.33 -30.32.
Computed values of energy of formation from the pure elements (unit: eV per atom) for the preceding records, in sequence: -0.02 -0.06 0.00 -0.13 -0.11 -0.22 0.10 -0.20 -0.24 -0.25 -0.38 -0.27.